TaWO2 PBE+U relaxed; Fermi-level density of states = 2.4 states/eV/f.u.; ρ = 13.49 Mg/m³; symmetry = R-3m; excess energy over the best structure of this formula in the dataset = 0.0 meV per atom
1.0
1.4185 0.8190 7.0064
-1.4185 0.8190 7.0064
0.0000 -1.6380 7.0064
Ta W O
1 1 2
Cartesian
0.0000 0.0000 0.0000
0.0000 0.0000 10.5096
0.0000 0.0000 8.4317
0.0000 0.0000 12.5875